Record 1
Computed, not measured: a geometry-optimized Th4OsS2Cl structure at the GGA-PBE level of DFT.

Cell lengths 4.048, 7.227, 7.137 Å; angles 70.71, 90.00, 90.00 degrees
Sites, in units of the cell vectors:
Th: 0.000 0.740 0.767
Th: 0.000 0.260 0.233
Th: 0.500 0.757 0.239
Th: 0.500 0.243 0.761
Os: 0.500 0.500 0.000
S: 0.000 0.000 0.000
S: 0.500 0.000 0.500
Cl: 0.000 0.500 0.500

Its space group is P2/m. As for the magnetic moment: 0.000 μB per formula unit. The value obtained for the formation energy without anion corrections is -1262.9 meV/atom.

***

Record 2
Computed, not measured: a geometry-optimized Th6Os3S2Cl structure at the GGA-PBE level of DFT.

Cell lengths 4.116, 8.653, 9.569 Å; angles 106.81, 102.42, 90.00 degrees
Sites, in units of the cell vectors:
Th: 0.322 0.931 0.643
Th: 0.661 0.600 0.322
Th: 0.678 0.069 0.357
Th: 0.994 0.278 0.988
Th: 0.006 0.722 0.012
Th: 0.339 0.400 0.678
Os: 0.500 0.500 0.000
Os: 0.835 0.167 0.669
Os: 0.165 0.833 0.331
S: 0.835 0.669 0.669
S: 0.165 0.331 0.331
Cl: 0.500 0.000 0.000

Its space group is C2/m. As for the magnetic moment: 0.000 μB per formula unit. The value obtained for the formation energy without anion corrections is -996.8 meV/atom.